[1]
{"formula": "RbGaSiIr2", "functional": "GGA-PBE", "state": "optimized geometry", "lattice_angstrom": [[4.782, 0.000, 0.000], [0.000, 4.911, 0.000], [0.000, 0.000, 4.782]], "species": ["Si", "Ir", "Ir", "Ga", "Rb"], "frac_coords": [[0.000, 0.500, 0.000], [0.000, 0.000, 0.500], [0.500, 0.000, 0.000], [0.000, 0.000, 0.000], [0.500, 0.500, 0.500]], "formation_energy_uncorrected_mev_per_atom": 1040, "m_tot_mub_per_atom": 0.00}

=====

[2]
{"formula": "ThAlCN", "functional": "GGA-PBE", "state": "optimized geometry", "lattice_angstrom": [[3.703, 0.000, 0.000], [-1.851, 3.207, 0.000], [0.000, 0.000, 10.468]], "species": ["Th", "Th", "Al", "Al", "C", "C", "N", "N"], "frac_coords": [[0.667, 0.333, 0.752], [0.333, 0.667, 0.252], [0.000, 0.000, 0.485], [0.000, 0.000, 0.985], [0.333, 0.667, 0.913], [0.667, 0.333, 0.413], [0.000, 0.000, 0.162], [0.000, 0.000, 0.662]], "formation_energy_uncorrected_mev_per_atom": -749, "m_tot_mub_per_atom": 0.00}

=====

[3]
{"formula": "Ce2HoPb9", "functional": "GGA-PBE", "state": "optimized geometry", "lattice_angstrom": [[4.903, 0.000, 0.000], [0.000, 4.903, 0.000], [0.000, 0.000, 14.665]], "species": ["Ce", "Ce", "Ho", "Pb", "Pb", "Pb", "Pb", "Pb", "Pb", "Pb", "Pb", "Pb"], "frac_coords": [[0.000, 0.000, 0.335], [0.000, 0.000, 0.665], [0.000, 0.000, 0.000], [0.500, 0.500, 0.000], [0.500, 0.500, 0.332], [0.500, 0.500, 0.668], [0.500, 0.000, 0.164], [0.500, 0.000, 0.500], [0.500, 0.000, 0.836], [0.000, 0.500, 0.164], [0.000, 0.500, 0.500], [0.000, 0.500, 0.836]], "m_tot_mub_per_atom": 0.17, "formation_enthalpy_0k_ev_per_atom": -0.319}